1.
## Cs2ScNbAu (GGA-PBEsol)

Data for a geometry-optimized Cs2ScNbAu structure.

The structure in extended XYZ format:
```
5
Lattice="6.0474 0.0000 0.0000 0.0000 6.0474 0.0000 0.0000 0.0000 4.9278" Properties=species:S:1:pos:R:3 pbc="T T T"
Cs 0.0000 3.0237 0.0000
Cs 3.0237 0.0000 0.0000
Sc 0.0000 0.0000 2.4639
Nb 0.0000 0.0000 0.0000
Au 3.0237 3.0237 2.4639
```

The formation energy comes out at 1214 meV/atom. The crystal system is tetragonal.


2.
## Cs2NiAu (GGA-PBEsol)

Data for a geometry-optimized Cs2NiAu structure.

The structure in extended XYZ format:
```
4
Lattice="0.0000 4.1579 4.1579 4.1579 0.0000 4.1579 4.1579 4.1579 0.0000" Properties=species:S:1:pos:R:3 pbc="T T T"
Cs 2.0790 2.0790 2.0790
Cs 6.2369 6.2369 6.2369
Ni 0.0000 0.0000 0.0000
Au 4.1579 4.1579 4.1579
```

The formation energy comes out at 582 meV/atom. The crystal system is cubic.


3.
## CsNi2AuO (GGA-PBEsol)

Data for a geometry-optimized CsNi2AuO structure.

The structure in extended XYZ format:
```
5
Lattice="4.8066 0.0000 0.0000 0.0000 4.8066 0.0000 0.0000 0.0000 4.1727" Properties=species:S:1:pos:R:3 pbc="T T T"
Cs 0.0000 0.0000 0.0000
Ni 0.0000 2.4033 2.0863
Ni 2.4033 0.0000 2.0863
Au 2.4033 2.4033 2.0863
O 2.4033 2.4033 0.0000
```

The uncorrected formation energy is 0.79 eV/atom. The crystal system is tetragonal.